1.
## KTa2TlCd (GGA-PBE)

Data for a relaxed structure of KTa2TlCd.

a b c (Å): 4.817 5.574 4.817
angles (deg): 90.00 90.00 90.00
Site moments in Bohr magnetons follow the coordinates.
Element x y z (fractional)
Ta 0.000 0.000 0.500  0.13
Ta 0.500 0.000 0.000  0.01
Cd 0.500 0.500 0.500  0.00
Tl 0.000 0.500 0.000  -0.01
K 0.000 0.000 0.000  0.05

Calculated values
DFT total energy in eV per atom: -3.013
Symmetry: P4/mmm
Total magnetization in μB per formula unit: 0.17
ΔH_f (0 K) in kJ/mol of atoms: 251

***

2.
## AcScIn (GGA-PBE)

Data for a relaxed structure of AcScIn.

a b c (Å): 3.739 3.739 13.790
angles (deg): 97.79 97.79 90.00
Site moments in Bohr magnetons follow the coordinates.
Element x y z (fractional)
In 0.158 0.158 0.316  0.00
In 0.842 0.842 0.684  0.00
Ac 0.573 0.573 0.146  -0.09
Ac 0.427 0.427 0.854  -0.09
Sc 0.283 0.283 0.567  -0.34
Sc 0.717 0.717 0.433  -0.34

Calculated values
Polymorph energy (0 for the lowest one) in meV/atom: 139
DFT total energy in eV per atom: -4.581
Symmetry: I4/mmm
Total magnetization in μB per formula unit: 0.81
ΔH_f (0 K) in kJ/mol of atoms: -18

***

3.
## LaTaCr2 (GGA-PBE)

Data for a relaxed structure of LaTaCr2.

a b c (Å): 5.663 5.194 2.922
angles (deg): 76.66 84.68 121.27
Element x y z (fractional)
Cr 0.500 0.000 0.500
Cr 0.000 0.000 0.000
La 0.000 0.500 0.500
Ta 0.500 0.500 0.000

Calculated values
Polymorph energy (0 for the lowest one) in meV/atom: 405
DFT total energy in eV per atom: -8.207
Symmetry: C2/m
Total magnetization in μB per formula unit: 0.03
ΔH_f (0 K) in kJ/mol of atoms: 77

***

4.
## Ac4Tl3 (GGA-PBE)

Data for a relaxed structure of Ac4Tl3.

a b c (Å): 4.130 4.130 15.751
angles (deg): 97.53 97.53 90.00
Element x y z (fractional)
Ac 0.566 0.566 0.131
Ac 0.156 0.156 0.311
Ac 0.434 0.434 0.869
Ac 0.844 0.844 0.689
Tl 0.000 0.000 0.000
Tl 0.723 0.723 0.445
Tl 0.277 0.277 0.555

Calculated values
Polymorph energy (0 for the lowest one) in meV/atom: 113
DFT total energy in eV per atom: -3.523
Symmetry: I4/mmm
Total magnetization in μB per formula unit: 0.00
ΔH_f (0 K) in kJ/mol of atoms: -16

***

5.
## InSbRu2 (GGA-PBE)

Data for a relaxed structure of InSbRu2.

a b c (Å): 5.389 5.389 5.389
angles (deg): 137.72 137.72 61.34
Element x y z (fractional)
Ru 0.000 0.000 0.000
Ru 0.250 0.750 0.500
Sb 0.500 0.500 0.000
In 0.750 0.250 0.500

Calculated values
Formation energy without anion corrections in eV per atom: 0.310
DFT total energy in eV per atom: -6.043
Symmetry: I-4m2
Total magnetization in μB per formula unit: 0.01

***

6.
## La2MgHg (GGA-PBE)

Data for a relaxed structure of La2MgHg.

a b c (Å): 3.721 3.721 10.904
angles (deg): 80.20 80.20 59.92
Element x y z (fractional)
La 0.079 0.079 0.763
La 0.255 0.255 0.237
Mg 0.500 0.500 0.499
Hg 0.666 0.666 0.000

Calculated values
Polymorph energy (0 for the lowest one) in meV/atom: 193
DFT total energy in eV per atom: -3.055
Symmetry: R3m
Total magnetization in μB per formula unit: 0.00
ΔH_f (0 K) in kJ/mol of atoms: -11

***

7.
## PmTm2Fe (GGA-PBE)

Data for a relaxed structure of PmTm2Fe.

a b c (Å): 3.331 3.331 8.985
angles (deg): 90.00 90.00 90.00
Element x y z (fractional)
Tm 0.000 0.000 0.175
Tm 0.000 0.000 0.825
Pm 0.500 0.500 0.500
Fe 0.500 0.500 0.000

Calculated values
Polymorph energy (0 for the lowest one) in meV/atom: 0
DFT total energy in eV per atom: -5.508
Symmetry: P4/mmm
Total magnetization in μB per formula unit: 0.00
ΔH_f (0 K) in kJ/mol of atoms: 3

***

8.
## TaCl2O (GGA-PBE)

Data for a relaxed structure of TaCl2O.

a b c (Å): 9.297 9.297 9.297
angles (deg): 20.46 20.46 20.46
Site moments in Bohr magnetons follow the coordinates.
Element x y z (fractional)
O 0.500 0.500 0.500  -0.38
Cl 0.918 0.918 0.918  -0.01
Cl 0.082 0.082 0.082  -0.01
Ta 0.000 0.000 0.000  0.11

Calculated values
Formation energy without anion corrections in eV per atom: 0.535
DFT total energy in eV per atom: -4.591
Symmetry: R-3m
Total magnetization in μB per formula unit: 0.34